A geometry-optimized ZrNbOs2 structure, computed with PBE.

Summary:
- DFT formation energy: -0.3034 eV per atom
- DOS at the Fermi energy: 0.70 states/eV/atom
- Calculated density: 13.77 Mg/m³

Lattice parameters (Å, degrees): 3.1655 3.1655 6.7940 90.00 90.00 90.00
Element x y z (fractional)
Nb: 0.5000 0.5000 0.0000
Os: 0.0000 0.0000 0.7622
Os: 0.0000 0.0000 0.2378
Zr: 0.5000 0.5000 0.5000

A geometry-optimized ZrNb3Os structure, computed with PBE.

Summary:
- DFT formation energy: 0.8605 eV per atom
- E above lowest polymorph: 840 meV/atom
- DOS at the Fermi energy: 1.63 states/eV/atom
- Calculated density: 8.07 Mg/m³

Lattice parameters (Å, degrees): 4.8658 4.8658 4.8658 90.00 90.00 90.00
Element x y z (fractional)
Nb: 0.0000 0.5000 0.0000
Nb: 0.0000 0.0000 0.5000
Nb: 0.5000 0.0000 0.0000
Os: 0.0000 0.0000 0.0000
Zr: 0.5000 0.5000 0.5000

A geometry-optimized Zr2Nb2Os structure, computed with PBE.

Summary:
- DFT formation energy: -0.2086 eV per atom
- E above lowest polymorph: 0 meV/atom
- DOS at the Fermi energy: 0.92 states/eV/atom
- Calculated density: 9.82 Mg/m³

Lattice parameters (Å, degrees): 3.3324 3.3324 8.8210 100.89 100.89 90.00
Element x y z (fractional)
Zr: 0.5953 0.5953 0.1907
Zr: 0.4047 0.4047 0.8093
Nb: 0.7936 0.7936 0.5872
Nb: 0.2064 0.2064 0.4128
Os: 0.0000 0.0000 0.0000

A geometry-optimized NbP structure, computed with PBE.

Summary:
- DFT formation energy: -0.1940 eV per atom
- DOS at the Fermi energy: 0.32 states/eV/atom
- Calculated density: 5.21 Mg/m³

Lattice parameters (Å, degrees): 3.4382 3.4382 7.7111 90.00 90.00 120.00
Element x y z (fractional)
Nb: 0.3333 0.6667 0.6981
Nb: 0.6667 0.3333 0.1981
P: 0.3333 0.6667 0.3839
P: 0.6667 0.3333 0.8839

A geometry-optimized NbP4 structure, computed with PBE.

Summary:
- DFT formation energy: 0.8723 eV per atom
- DOS at the Fermi energy: 0.90 states/eV/atom
- Calculated density: 3.22 Mg/m³

Lattice parameters (Å, degrees): 4.8177 4.8177 4.8177 90.00 90.00 90.00
Element x y z (fractional)
P: 0.0000 0.0000 0.0000
P: 0.5000 0.0000 0.5000
P: 0.0000 0.5000 0.5000
P: 0.5000 0.5000 0.0000
Nb: 0.5000 0.5000 0.5000

A geometry-optimized NbP structure, computed with PBE.

Summary:
- DFT formation energy: -0.0774 eV per atom
- DOS at the Fermi energy: 0.90 states/eV/atom
- Calculated density: 3.55 Mg/m³

Lattice parameters (Å, degrees): 7.7429 7.7429 7.7429 90.00 90.00 90.00
Element x y z (fractional)
Nb: 0.3641 0.3641 0.3641
Nb: 0.3641 0.6359 0.6359
Nb: 0.6359 0.3641 0.6359
Nb: 0.6359 0.6359 0.3641
Nb: 0.8641 0.8641 0.8641
Nb: 0.8641 0.1359 0.1359
Nb: 0.1359 0.8641 0.1359
Nb: 0.1359 0.1359 0.8641
P: 0.1771 0.1771 0.1771
P: 0.1771 0.8229 0.8229
P: 0.8229 0.1771 0.8229
P: 0.8229 0.8229 0.1771
P: 0.6771 0.6771 0.6771
P: 0.6771 0.3229 0.3229
P: 0.3229 0.6771 0.3229
P: 0.3229 0.3229 0.6771

Repeat the sixth record exactly.
A geometry-optimized NbP structure, computed with PBE.

Summary:
- DFT formation energy: -0.0774 eV per atom
- DOS at the Fermi energy: 0.90 states/eV/atom
- Calculated density: 3.55 Mg/m³

Lattice parameters (Å, degrees): 7.7429 7.7429 7.7429 90.00 90.00 90.00
Element x y z (fractional)
Nb: 0.3641 0.3641 0.3641
Nb: 0.3641 0.6359 0.6359
Nb: 0.6359 0.3641 0.6359
Nb: 0.6359 0.6359 0.3641
Nb: 0.8641 0.8641 0.8641
Nb: 0.8641 0.1359 0.1359
Nb: 0.1359 0.8641 0.1359
Nb: 0.1359 0.1359 0.8641
P: 0.1771 0.1771 0.1771
P: 0.1771 0.8229 0.8229
P: 0.8229 0.1771 0.8229
P: 0.8229 0.8229 0.1771
P: 0.6771 0.6771 0.6771
P: 0.6771 0.3229 0.3229
P: 0.3229 0.6771 0.3229
P: 0.3229 0.3229 0.6771